Run a
HoErPt2 | Alexandria | PBE | relaxed; magnetic moment = 0.00 μB/atom; space-group type = No. 225
1.0
0.0000 3.4730 3.4730
3.4730 0.0000 3.4730
3.4730 3.4730 0.0000
Ho Er Pt
1 1 2
direct
0.0000 0.0000 0.0000 Ho
0.5000 0.5000 0.5000 Er
0.2500 0.2500 0.2500 Pt
0.7500 0.7500 0.7500 Pt

---

Run b
HoErPt2 | Alexandria | PBE | relaxed; magnetic moment = 0.00 μB/atom; space-group type = No. 38
1.0
4.4307 0.0000 0.0000
0.0000 1.8790 5.2586
0.0000 -1.8790 5.2586
Ho Er Pt
1 1 2
direct
0.0000 0.0000 0.0000 Ho
0.5000 0.2772 0.2772 Er
0.0000 0.7269 0.7269 Pt
0.5000 0.5507 0.5507 Pt

---

Most stable structure - run b; separation to the second - 48 meV/atom.

---

Run a
HoErPt2 | Alexandria | PBE | relaxed; magnetic moment = 0.00 μB/atom; space-group type = No. 166
1.0
2.0185 1.1654 6.6189
-2.0185 1.1654 6.6189
0.0000 -2.3307 6.6189
Ho Er Pt
1 1 2
direct
0.0000 0.0000 0.0000 Ho
0.5000 0.5000 0.5000 Er
0.2495 0.2495 0.2495 Pt
0.7505 0.7505 0.7505 Pt

---

Run b
HoErPt2 | Alexandria | PBE | relaxed; magnetic moment = 0.00 μB/atom; space-group type = No. 123
1.0
4.9278 0.0000 0.0000
0.0000 4.9278 0.0000
0.0000 0.0000 3.4421
Ho Er Pt
1 1 2
direct
0.0000 0.0000 0.0000 Ho
0.5000 0.5000 0.0000 Er
0.0000 0.5000 0.5000 Pt
0.5000 0.0000 0.5000 Pt

---

Most stable structure - run b; separation to the second - 109 meV/atom.

---

Run a
HoEr3Pt2 | Alexandria | PBE | relaxed; magnetic moment = 0.00 μB/atom; space-group type = No. 72
1.0
-3.4277 6.7854 3.5116
3.4277 -6.7854 3.5116
3.4277 6.7854 -3.5116
Ho Er Pt
2 6 4
direct
0.0000 0.0000 0.0000 Ho
0.5000 0.5000 0.0000 Ho
0.0139 0.2500 0.7639 Er
0.2500 0.7500 0.5000 Er
0.4861 0.2500 0.2361 Er
0.5139 0.7500 0.7639 Er
0.7500 0.2500 0.5000 Er
0.9861 0.7500 0.2361 Er
0.1401 0.7106 0.8507 Pt
0.3599 0.2106 0.5705 Pt
0.6401 0.7894 0.4295 Pt
0.8599 0.2894 0.1493 Pt

---

Run b
HoEr3Pt2 | Alexandria | PBE | relaxed; magnetic moment = 0.00 μB/atom; space-group type = No. 26
1.0
4.7420 0.0000 0.0000
0.0000 8.7266 0.0000
0.0000 0.0000 7.0986
Ho Er Pt
2 6 4
direct
0.0000 0.0824 0.0000 Ho
0.0000 0.9176 0.5000 Ho
0.0000 0.3303 0.6341 Er
0.0000 0.6697 0.1341 Er
0.5000 0.1704 0.3462 Er
0.5000 0.4176 0.9802 Er
0.5000 0.5824 0.4802 Er
0.5000 0.8296 0.8462 Er
0.0000 0.3443 0.2318 Pt
0.0000 0.6557 0.7318 Pt
0.5000 0.1566 0.7483 Pt
0.5000 0.8434 0.2483 Pt

---

Most stable structure - run b; separation to the second - 108 meV/atom.

---

Run a
HoErZnPt | Alexandria | PBE | relaxed; magnetic moment = 0.00 μB/atom; space-group type = No. 99
1.0
3.5270 0.0000 0.0000
0.0000 3.5270 0.0000
0.0000 0.0000 6.9051
Ho Er Zn Pt
1 1 1 1
direct
0.0000 0.0000 0.0000 Ho
0.0000 0.0000 0.4858 Er
0.5000 0.5000 0.7409 Zn
0.5000 0.5000 0.2456 Pt

---

Run b
HoErZnPt | Alexandria | PBE | relaxed; magnetic moment = 0.00 μB/atom; space-group type = No. 216
1.0
0.0000 3.5000 3.5000
3.5000 0.0000 3.5000
3.5000 3.5000 0.0000
Ho Er Zn Pt
1 1 1 1
direct
0.0000 0.0000 0.0000 Ho
0.5000 0.5000 0.5000 Er
0.7500 0.7500 0.7500 Zn
0.2500 0.2500 0.2500 Pt

---

Most stable structure - run a; separation to the second - 15 meV/atom.

---

Run a
Ho6ErPu | Alexandria | PBE | relaxed; magnetic moment = 0.96 μB/atom; space-group type = No. 12
1.0
3.4468 -6.0372 0.0000
3.4468 6.0372 0.0000
-3.3912 0.0000 6.0232
Ho Er Pu
6 1 1
direct
0.0122 0.4525 0.2477 Ho
0.2359 0.2359 0.7596 Ho
0.4525 0.0122 0.2477 Ho
0.5475 0.9878 0.7523 Ho
0.7641 0.7641 0.2404 Ho
0.9878 0.5475 0.7523 Ho
0.5000 0.5000 0.5000 Er
0.0000 0.0000 0.0000 Pu

---

Run b
Ho6ErPu | Alexandria | PBE | relaxed; magnetic moment = 0.84 μB/atom; space-group type = No. 38
1.0
5.6212 0.0000 0.0000
0.0000 3.5505 6.1504
0.0000 -3.5505 6.1504
Ho Er Pu
6 1 1
direct
0.0000 0.0000 0.0000 Ho
0.0000 0.0049 0.4978 Ho
0.0000 0.4978 0.0049 Ho
0.5000 0.3347 0.8325 Ho
0.5000 0.8325 0.3347 Ho
0.5000 0.8328 0.8328 Ho
0.0000 0.4975 0.4975 Er
0.5000 0.3334 0.3334 Pu

---

Most stable structure - run b; separation to the second - 332 meV/atom.

---

Run a
Ho4ErPu | Alexandria | PBE | relaxed; magnetic moment = 1.12 μB/atom; space-group type = No. 36
1.0
2.7776 -5.9442 0.0000
2.7776 5.9442 0.0000
0.0000 0.0000 10.9581
Ho Er Pu
8 2 2
direct
0.0183 0.9817 0.5000 Ho
0.1758 0.8242 0.2241 Ho
0.3270 0.6730 0.4971 Ho
0.4724 0.5276 0.2160 Ho
0.5276 0.4724 0.7160 Ho
0.6730 0.3270 0.9971 Ho
0.8242 0.1758 0.7241 Ho
0.9817 0.0183 0.0000 Ho
0.3356 0.6644 0.9418 Er
0.6644 0.3356 0.4418 Er
0.1370 0.8630 0.7663 Pu
0.8630 0.1370 0.2663 Pu

---

Run b
Ho4ErPu | Alexandria | PBE | relaxed; magnetic moment = 1.00 μB/atom; space-group type = No. 2
1.0
3.4912 0.0000 0.0000
-0.0104 7.0091 0.0000
-1.7442 -1.7585 7.4019
Ho Er Pu
4 1 1
direct
0.1639 0.3339 0.3274 Ho
0.1656 0.8315 0.3317 Ho
0.8344 0.1685 0.6683 Ho
0.8361 0.6661 0.6726 Ho
0.5000 0.0000 0.0000 Er
0.5000 0.5000 0.0000 Pu

---

Most stable structure - run b; separation to the second - 64 meV/atom.